VASP calculation (PBE) on a relaxed Hf3Sc2 crystal.

Lattice parameters (Å, degrees): 5.6028 15.4267 5.9646 90.00 114.29 90.00
Space group C2/m (No. 12)
Symmetry-distinct sites (fractional):
1 Hf 0.2339 0.0000 0.2390
2 Hf 0.2396 0.4108 0.2592
3 Sc 0.0000 0.1907 0.0000
4 Sc 0.2500 0.2500 0.5000

M_tot (μB/f.u.): 0.16
Distance to the lowest polymorph of the same formula (eV/atom): 0.175
Energy relative to the elements (eV per atom): 0.319
Crystal system: monoclinic



VASP calculation (PBE) on a relaxed Hf4Sc crystal.

Lattice parameters (Å, degrees): 4.9447 4.9447 4.9447 90.00 90.00 90.00
Space group Pm-3m (No. 221)
Symmetry-distinct sites (fractional):
1 Hf 0.0000 0.0000 0.0000
2 Hf 0.0000 0.5000 0.5000
3 Sc 0.5000 0.5000 0.5000

M_tot (μB/f.u.): 0.00
Distance to the lowest polymorph of the same formula (eV/atom): 1.136
Energy relative to the elements (eV per atom): 1.205
Crystal system: cubic